Below is a relaxed MnAl2Cu crystal, with properties calculated at the PBE level.

Properties
**Raw total energy**: -21.23 eV/cell
**Spin magnetization**: 2.54 μB per formula unit

Lattice parameters (Å, degrees): 2.804 3.706 5.267 90.00 90.00 90.00
Space group Pmm2 (No. 25)
One atom of each set of equivalent atoms:
1 Mn 0.000 0.000 0.000 x1
2 Al 0.000 0.000 0.507 x1
3 Al 0.500 0.500 0.213 x1
4 Cu 0.500 0.500 0.729 x1